Run a
Crystalline Ac2Sn3Pt2 at its relaxed geometry. Source: the Alexandria database, functional PBE.

Cell: 5.914 5.914 7.800 Å, 107.35 107.35 45.91°
Sites, in units of the cell vectors:
Ac  0.149  0.149  0.298
Ac  0.851  0.851  0.702
Sn  0.379  0.379  0.059
Sn  0.500  0.500  0.500
Sn  0.621  0.621  0.941
Pt  0.154  0.154  0.756
Pt  0.846  0.846  0.244

Spin magnetization = 0.000 μB per atom
Density = 10.751 g/cm3
D(E_F) = 0.615 states/eV/atom

***

Run b
Crystalline Ac2Sn3Pt2 at its relaxed geometry. Source: the Alexandria database, functional PBE.

Cell: 10.573 10.573 7.585 Å, 90.00 90.00 153.90°
Sites, in units of the cell vectors:
Ac  0.046  0.954  0.750
Ac  0.164  0.836  0.250
Ac  0.836  0.164  0.750
Ac  0.954  0.046  0.250
Sn  0.217  0.783  0.750
Sn  0.431  0.569  0.557
Sn  0.431  0.569  0.943
Sn  0.569  0.431  0.057
Sn  0.569  0.431  0.443
Sn  0.783  0.217  0.250
Pt  0.300  0.700  0.046
Pt  0.300  0.700  0.454
Pt  0.700  0.300  0.546
Pt  0.700  0.300  0.954

Spin magnetization = 0.000 μB per atom
Density = 10.687 g/cm3
D(E_F) = 0.449 states/eV/atom

***

Relative energies, unit meV/atom: run a 0; run b 27